Below is a geometry-optimized PmInAg structure, with properties calculated at the PBE level.

Output
* space group: F-43m, No. 216
* total moment: 0.01 μB per atom

POSCAR file:
```
PmInAg
1.0
-0.6800 -3.1584 3.8486
-4.4844 -2.1482 0.7251
-0.6000 -4.9145 -0.8588
Ag In Pm
1 1 1
Direct
0.5000 0.5000 0.5000
0.0000 0.0000 0.0000
0.2500 0.2500 0.2500
```

***

Below is a geometry-optimized Ta2Be2Nb structure, with properties calculated at the PBE level.

Output
* space group: P4/mbm, No. 127
* total moment: 0.00 μB per atom

POSCAR file:
```
Ta2Be2Nb
1.0
-1.6840 -0.1602 -6.2758
-5.4682 -3.1545 1.5478
-1.5951 2.9382 0.3530
Be Nb Ta
4 2 4
Direct
0.6133 0.1133 0.0000
0.1133 0.3867 0.0000
0.8867 0.6133 0.0000
0.3867 0.8867 0.0000
0.0000 0.0000 0.0000
0.5000 0.5000 0.0000
0.3209 0.1791 0.5000
0.8209 0.3209 0.5000
0.1791 0.6791 0.5000
0.6791 0.8209 0.5000
```

***

Below is a geometry-optimized RbZrPdSeS2 structure, with properties calculated at the PBE level.

Output
* space group: P2_1/m, No. 11
* total moment: 0.00 μB per atom

POSCAR file:
```
RbZrPdSeS2
1.0
8.6450 0.0000 0.0000
0.0000 3.7856 0.0000
-3.8442 0.0000 9.2362
Pd Rb S Se Zr
2 2 4 2 2
Direct
0.9005 0.2500 0.3979
0.0995 0.7500 0.6021
0.2282 0.7500 0.2458
0.7718 0.2500 0.7542
0.4613 0.2500 0.1287
0.8818 0.2500 0.1423
0.1182 0.7500 0.8577
0.5387 0.7500 0.8713
0.7391 0.7500 0.4422
0.2609 0.2500 0.5578
0.6853 0.7500 0.1561
0.3147 0.2500 0.8439
```

***

Below is a geometry-optimized KAuS2O8 structure, with properties calculated at the PBE level.

Output
* space group: C2/c, No. 15

POSCAR file:
```
KAuS2O8
1.0
4.4907 -4.4342 -1.7537
-6.0995 -1.3774 -1.9501
3.0906 6.7462 -5.1671
Au K O S
2 2 16 4
Direct
0.5000 0.5000 0.0000
0.5000 0.0000 0.5000
0.0293 0.2793 0.2500
0.9707 0.7207 0.7500
0.7483 0.3899 0.0005
0.1392 0.9187 0.0820
0.5554 0.0322 0.1792
0.4962 0.4819 0.2196
0.2623 0.7766 0.2804
0.8531 0.8762 0.3208
0.8368 0.5572 0.4180
0.3893 0.2478 0.4995
0.6107 0.7522 0.5005
0.1632 0.4428 0.5820
0.1469 0.1238 0.6792
0.7377 0.2234 0.7196
0.5038 0.5181 0.7804
0.4446 0.9678 0.8208
0.8608 0.0813 0.9180
0.2517 0.6101 0.9995
0.3122 0.8552 0.1365
0.7187 0.6757 0.3635
0.2813 0.3243 0.6365
0.6878 0.1448 0.8635
```

***

Below is a geometry-optimized DyAuSO structure, with properties calculated at the PBE level.

Output
* space group: P4bm, No. 100
* total moment: 0.00 μB per atom

POSCAR file:
```
DyAuSO
1.0
-1.3762 5.2873 -0.6249
-4.5489 -0.8323 2.9757
4.5955 2.0957 7.6113
Au Dy O S
4 4 4 4
Direct
0.6809 0.1809 0.4929
0.1809 0.3191 0.4929
0.8191 0.6809 0.4929
0.3191 0.8191 0.4929
0.5000 0.0000 0.1238
0.0000 0.5000 0.1238
0.0000 0.0000 0.8768
0.5000 0.5000 0.8768
0.7488 0.2488 0.0015
0.2488 0.2512 0.0015
0.7512 0.7488 0.0015
0.2512 0.7512 0.0015
0.0000 0.0000 0.2894
0.5000 0.5000 0.2894
0.5000 0.0000 0.7212
0.0000 0.5000 0.7212
```

***

Below is a geometry-optimized TmPbAuS3 structure, with properties calculated at the PBE level.

Output
* space group: Pnma, No. 62
* total moment: 0.00 μB per atom

POSCAR file:
```
TmPbAuS3
1.0
-13.2297 2.8876 0.4668
-0.2366 -0.4469 -3.9406
-2.1470 -10.0414 1.2677
Au Pb S Tm
4 4 12 4
Direct
0.0319 0.2500 0.0920
0.5319 0.2500 0.4080
0.4681 0.7500 0.5920
0.9681 0.7500 0.9080
0.7681 0.7500 0.0638
0.2681 0.7500 0.4362
0.7319 0.2500 0.5638
0.2319 0.2500 0.9362
0.6007 0.2500 0.0561
0.1391 0.7500 0.1433
0.8740 0.2500 0.2359
0.3740 0.2500 0.2641
0.6391 0.7500 0.3567
0.1007 0.2500 0.4439
0.8993 0.7500 0.5561
0.3609 0.2500 0.6433
0.6260 0.7500 0.7359
0.1260 0.7500 0.7641
0.8609 0.2500 0.8567
0.3993 0.7500 0.9439
0.4936 0.7500 0.1735
0.9936 0.7500 0.3265
0.0064 0.2500 0.6735
0.5064 0.2500 0.8265
```

***

| no. | raw total energy (eV per atom) |
| --- | --- |
| 1 | -3.314 |
| 2 | -8.413 |
| 3 | -5.590 |
| 4 | -5.548 |
| 5 | -6.092 |
| 6 | -4.941 |